VASP calculation (PBE) on a relaxed structure of Ti2CuRhPb.

Energy relative to the elements ... 1479.2 meV/atom
Symmetry ... No. 123
E_tot ... -23.5 eV for the cell shown

a b c (Å): 5.1103 5.1103 4.9304
angles (deg): 90.00 90.00 90.00
Fractional coordinates of all 5 atoms:
1 Ti 0.0000 0.5000 0.0000
2 Ti 0.5000 0.0000 0.0000
3 Cu 0.0000 0.0000 0.5000
4 Rh 0.5000 0.5000 0.5000
5 Pb 0.5000 0.5000 0.0000